A plane-wave DFT calculation with PBE-GGA was carried out for crystalline Nb2ZnRh4 at its relaxed geometry.

Structure (POSCAR):
```
Nb2ZnRh4
1.0
6.8761 0.1159 1.0122
-0.3954 7.0326 -0.8853
-2.2722 -4.4034 4.8825
Nb Zn Rh
4 2 8
Direct
0.5736 0.3733 0.6954
0.6221 0.8717 0.2452
0.6769 0.4092 0.2298
0.0704 0.3413 0.7677
0.1386 0.6171 0.5377
0.1703 0.1329 0.0215
0.9206 0.1437 0.2698
0.3754 0.6068 0.2782
0.8615 0.6565 0.7511
0.7867 0.0709 0.7580
0.2503 0.9002 0.1708
0.3454 0.0956 0.7065
0.5202 0.8509 0.8510
0.9381 0.6797 0.2173
```

**Space-group type**: P1 (1)
**M_tot**: 0.0 μB per cell
**N(E_F)**: 0.736 states/eV/atom
**ΔE_f**: -19 kJ per mole of atoms